1.
! Al12W17, optimized geometry, DFT GGA-PBE; values from VASP
! **Symmetry**: I-43m
! **E_tot**: -8.931 eV per atom
&SYSTEM
  ibrav = 0, nat = 29, ntyp = 2
/
ATOMIC_SPECIES
W 183.84 W.upf
Al 26.98 Al.upf
CELL_PARAMETERS angstrom
3.770 -5.219 -5.519
3.334 -1.153 7.711
-8.312 -1.662 0.237
ATOMIC_POSITIONS crystal
W 0.809 0.809 0.181
W 0.000 0.636 0.000
Al 0.684 0.000 0.407
W 0.000 0.000 0.000
Al 0.000 0.407 0.684
W 0.809 0.181 0.809
Al 0.723 0.316 0.316
W 0.819 0.628 0.628
W 0.000 0.191 0.372
Al 0.684 0.407 0.000
W 0.628 0.819 0.628
Al 0.277 0.593 0.593
W 0.191 0.000 0.372
Al 0.407 0.000 0.684
Al 0.316 0.723 0.316
Al 0.316 0.316 0.723
W 0.000 0.372 0.191
W 0.628 0.628 0.819
W 0.191 0.372 0.000
Al 0.593 0.593 0.277
W 0.364 0.364 0.364
W 0.636 0.000 0.000
W 0.372 0.000 0.191
Al 0.593 0.277 0.593
Al 0.000 0.684 0.407
W 0.000 0.000 0.636
W 0.181 0.809 0.809
Al 0.407 0.684 0.000
W 0.372 0.191 0.000



2.
! Al2W3, optimized geometry, DFT GGA-PBE; values from VASP
! **Symmetry**: P4_2/mnm
! **E_tot**: -9.077 eV per atom
&SYSTEM
  ibrav = 0, nat = 30, ntyp = 2
/
ATOMIC_SPECIES
W 183.84 W.upf
Al 26.98 Al.upf
CELL_PARAMETERS angstrom
-7.542 -3.062 -5.089
3.237 -9.016 0.627
-2.752 -0.677 4.486
ATOMIC_POSITIONS crystal
W 0.186 0.814 0.752
Al 0.402 0.598 0.500
W 0.314 0.314 0.252
W 0.186 0.814 0.248
Al 0.598 0.402 0.500
W 0.741 0.937 0.500
W 0.000 0.000 0.500
W 0.814 0.186 0.248
W 0.686 0.686 0.748
Al 0.863 0.463 0.500
Al 0.537 0.137 0.500
Al 0.363 0.037 0.000
W 0.063 0.259 0.500
W 0.437 0.759 0.000
W 0.759 0.437 0.000
W 0.686 0.686 0.252
Al 0.463 0.863 0.500
Al 0.637 0.963 0.000
Al 0.963 0.637 0.000
W 0.314 0.314 0.748
W 0.241 0.563 0.000
W 0.563 0.241 0.000
Al 0.137 0.537 0.500
W 0.259 0.063 0.500
W 0.937 0.741 0.500
Al 0.098 0.098 0.000
W 0.500 0.500 0.000
W 0.814 0.186 0.752
Al 0.902 0.902 0.000
Al 0.037 0.363 0.000



3.
! Al11W4, optimized geometry, DFT GGA-PBE; values from VASP
! **Symmetry**: P4_2/mnm
! **E_tot**: -6.165 eV per atom
&SYSTEM
  ibrav = 0, nat = 30, ntyp = 2
/
ATOMIC_SPECIES
W 183.84 W.upf
Al 26.98 Al.upf
CELL_PARAMETERS angstrom
9.712 0.000 0.000
0.000 9.712 0.000
0.000 0.000 5.089
ATOMIC_POSITIONS crystal
W 0.074 0.259 0.500
Al 0.824 0.176 0.251
W 0.426 0.759 0.000
Al 0.372 0.038 0.000
Al 0.038 0.372 0.000
Al 0.000 0.000 0.500
Al 0.676 0.676 0.249
Al 0.102 0.102 0.000
Al 0.398 0.602 0.500
Al 0.602 0.398 0.500
Al 0.824 0.176 0.749
Al 0.324 0.324 0.249
W 0.741 0.926 0.500
Al 0.128 0.538 0.500
Al 0.898 0.898 0.000
Al 0.872 0.462 0.500
Al 0.462 0.872 0.500
W 0.259 0.074 0.500
Al 0.676 0.676 0.751
W 0.759 0.426 0.000
Al 0.176 0.824 0.749
Al 0.962 0.628 0.000
W 0.926 0.741 0.500
Al 0.176 0.824 0.251
Al 0.538 0.128 0.500
Al 0.500 0.500 0.000
W 0.241 0.574 0.000
Al 0.324 0.324 0.751
Al 0.628 0.962 0.000
W 0.574 0.241 0.000



4.
! AlW5, optimized geometry, DFT GGA-PBE; values from VASP
! **Symmetry**: P6_3/mmc
! **E_tot**: -11.159 eV per atom
&SYSTEM
  ibrav = 0, nat = 24, ntyp = 2
/
ATOMIC_SPECIES
W 183.84 W.upf
Al 26.98 Al.upf
CELL_PARAMETERS angstrom
5.167 0.000 0.000
-2.584 4.475 0.000
0.000 0.000 16.944
ATOMIC_POSITIONS crystal
W 0.500 0.500 0.000
W 0.164 0.327 0.250
W 0.836 0.673 0.750
W 0.164 0.836 0.250
Al 0.667 0.333 0.626
W 0.000 0.500 0.000
W 0.000 0.000 0.908
W 0.500 0.000 0.000
W 0.667 0.333 0.158
W 0.333 0.667 0.842
Al 0.333 0.667 0.374
W 0.667 0.333 0.342
W 0.000 0.500 0.500
W 0.500 0.500 0.500
W 0.836 0.164 0.750
W 0.327 0.164 0.750
W 0.333 0.667 0.658
W 0.000 0.000 0.408
W 0.673 0.836 0.250
W 0.500 0.000 0.500
Al 0.333 0.667 0.126
Al 0.667 0.333 0.874
W 0.000 0.000 0.592
W 0.000 0.000 0.092



5.
! Al2W, optimized geometry, DFT GGA-PBE; values from VASP
! **Symmetry**: P6_3/mmc
! **E_tot**: -6.704 eV per atom
&SYSTEM
  ibrav = 0, nat = 24, ntyp = 2
/
ATOMIC_SPECIES
Al 26.98 Al.upf
W 183.84 W.upf
CELL_PARAMETERS angstrom
-2.556 -3.495 2.579
3.069 -1.380 -3.752
13.084 -1.315 11.187
ATOMIC_POSITIONS crystal
Al 0.500 0.000 0.000
Al 0.000 0.500 0.000
Al 0.000 0.500 0.500
W 0.000 0.000 0.581
Al 0.667 0.333 0.355
Al 0.334 0.167 0.750
Al 0.667 0.333 0.145
Al 0.500 0.000 0.500
W 0.333 0.667 0.124
Al 0.167 0.833 0.250
Al 0.333 0.667 0.855
W 0.667 0.333 0.624
W 0.000 0.000 0.081
W 0.000 0.000 0.419
Al 0.833 0.167 0.750
W 0.667 0.333 0.876
Al 0.500 0.500 0.000
Al 0.167 0.334 0.250
W 0.000 0.000 0.919
Al 0.500 0.500 0.500
W 0.333 0.667 0.376
Al 0.833 0.666 0.750
Al 0.333 0.667 0.645
Al 0.666 0.833 0.250



6.
! AlW, optimized geometry, DFT GGA-PBE; values from VASP
! **Symmetry**: Cmcm
! **E_tot**: -8.042 eV per atom
&SYSTEM
  ibrav = 0, nat = 12, ntyp = 2
/
ATOMIC_SPECIES
W 183.84 W.upf
Al 26.98 Al.upf
CELL_PARAMETERS angstrom
2.622 -4.539 0.000
2.622 4.539 0.000
0.000 0.000 8.585
ATOMIC_POSITIONS crystal
W 0.500 0.500 0.000
W 0.155 0.336 0.250
W 0.845 0.664 0.750
Al 0.848 0.152 0.565
Al 0.663 0.337 0.250
W 0.664 0.845 0.250
Al 0.152 0.848 0.435
Al 0.848 0.152 0.935
Al 0.337 0.663 0.750
W 0.500 0.500 0.500
Al 0.152 0.848 0.065
W 0.336 0.155 0.750



7.
! Al5W24, optimized geometry, DFT GGA-PBE; values from VASP
! **Symmetry**: I-43m
! **E_tot**: -11.095 eV per atom
&SYSTEM
  ibrav = 0, nat = 29, ntyp = 2
/
ATOMIC_SPECIES
W 183.84 W.upf
Al 26.98 Al.upf
CELL_PARAMETERS angstrom
-4.962 4.962 4.962
4.962 -4.962 4.962
4.962 4.962 -4.962
ATOMIC_POSITIONS crystal
W 0.285 0.606 0.606
W 0.813 0.616 0.616
W 0.384 0.197 0.000
W 0.803 0.187 0.803
W 0.606 0.606 0.285
Al 0.000 0.000 0.635
W 0.679 0.000 0.394
W 0.616 0.813 0.616
W 0.394 0.679 0.000
Al 0.000 0.635 0.000
W 0.616 0.616 0.813
W 0.803 0.803 0.187
W 0.000 0.394 0.679
W 0.606 0.285 0.606
W 0.197 0.000 0.384
W 0.000 0.679 0.394
W 0.000 0.384 0.197
W 0.715 0.321 0.321
W 0.384 0.000 0.197
Al 0.365 0.365 0.365
W 0.000 0.197 0.384
W 0.187 0.803 0.803
W 0.321 0.715 0.321
W 0.679 0.394 0.000
W 0.394 0.000 0.679
W 0.197 0.384 0.000
Al 0.635 0.000 0.000
Al 0.000 0.000 0.000
W 0.321 0.321 0.715



8.
! Al2W3, optimized geometry, DFT GGA-PBE; values from VASP
! **Symmetry**: P4_2/mnm
! **E_tot**: -9.253 eV per atom
&SYSTEM
  ibrav = 0, nat = 30, ntyp = 2
/
ATOMIC_SPECIES
W 183.84 W.upf
Al 26.98 Al.upf
CELL_PARAMETERS angstrom
-1.452 -8.111 -4.830
8.653 -3.097 2.600
-2.040 -2.152 4.227
ATOMIC_POSITIONS crystal
W 0.176 0.824 0.251
W 0.000 0.000 0.500
W 0.824 0.176 0.251
W 0.626 0.961 0.000
Al 0.571 0.234 0.000
W 0.676 0.676 0.751
W 0.324 0.324 0.751
Al 0.902 0.902 0.000
Al 0.071 0.266 0.500
W 0.500 0.500 0.000
W 0.539 0.126 0.500
W 0.324 0.324 0.249
Al 0.766 0.429 0.000
W 0.676 0.676 0.249
Al 0.098 0.098 0.000
Al 0.598 0.402 0.500
W 0.961 0.626 0.000
W 0.374 0.039 0.000
W 0.461 0.874 0.500
Al 0.402 0.598 0.500
W 0.824 0.176 0.749
Al 0.734 0.929 0.500
Al 0.429 0.766 0.000
W 0.039 0.374 0.000
W 0.126 0.539 0.500
Al 0.929 0.734 0.500
Al 0.234 0.571 0.000
W 0.176 0.824 0.749
Al 0.266 0.071 0.500
W 0.874 0.461 0.500



9.
! Al4W11, optimized geometry, DFT GGA-PBE; values from VASP
! **Symmetry**: P4_2/mnm
! **E_tot**: -10.329 eV per atom
&SYSTEM
  ibrav = 0, nat = 30, ntyp = 2
/
ATOMIC_SPECIES
W 183.84 W.upf
Al 26.98 Al.upf
CELL_PARAMETERS angstrom
9.637 0.000 0.000
0.000 9.637 0.000
0.000 0.000 5.242
ATOMIC_POSITIONS crystal
W 0.405 0.595 0.500
Al 0.465 0.863 0.500
Al 0.863 0.465 0.500
W 0.190 0.810 0.751
Al 0.637 0.965 0.000
W 0.190 0.810 0.249
W 0.000 0.000 0.500
W 0.905 0.905 0.000
W 0.760 0.441 0.000
W 0.500 0.500 0.000
W 0.441 0.760 0.000
W 0.690 0.690 0.251
W 0.095 0.095 0.000
W 0.059 0.260 0.500
W 0.810 0.190 0.751
Al 0.535 0.137 0.500
Al 0.965 0.637 0.000
W 0.260 0.059 0.500
W 0.595 0.405 0.500
W 0.740 0.941 0.500
W 0.941 0.740 0.500
W 0.690 0.690 0.749
Al 0.363 0.035 0.000
W 0.310 0.310 0.749
Al 0.137 0.535 0.500
W 0.810 0.190 0.249
W 0.559 0.240 0.000
Al 0.035 0.363 0.000
W 0.240 0.559 0.000
W 0.310 0.310 0.251



10.
! Al9W4, optimized geometry, DFT GGA-PBE; values from VASP
! **Symmetry**: R-3m
! **E_tot**: -6.520 eV per atom
&SYSTEM
  ibrav = 0, nat = 13, ntyp = 2
/
ATOMIC_SPECIES
Al 26.98 Al.upf
W 183.84 W.upf
CELL_PARAMETERS angstrom
-9.305 -1.029 -0.392
-7.550 -5.344 1.493
-8.118 -1.344 4.481
ATOMIC_POSITIONS crystal
Al 0.000 0.000 0.000
Al 0.909 0.415 0.909
Al 0.091 0.585 0.091
Al 0.454 0.454 0.454
Al 0.585 0.091 0.091
W 0.351 0.351 0.351
W 0.167 0.167 0.167
Al 0.546 0.546 0.546
Al 0.091 0.091 0.585
Al 0.415 0.909 0.909
W 0.833 0.833 0.833
Al 0.909 0.909 0.415
W 0.649 0.649 0.649



11.
! Al2W, optimized geometry, DFT GGA-PBE; values from VASP
! **Symmetry**: P6_3/mmc
! **E_tot**: -6.692 eV per atom
&SYSTEM
  ibrav = 0, nat = 12, ntyp = 2
/
ATOMIC_SPECIES
W 183.84 W.upf
Al 26.98 Al.upf
CELL_PARAMETERS angstrom
5.034 0.000 0.000
-2.517 4.360 0.000
0.000 0.000 8.076
ATOMIC_POSITIONS crystal
W 0.333 0.667 0.443
Al 0.172 0.344 0.750
W 0.333 0.667 0.057
Al 0.344 0.172 0.250
Al 0.000 0.000 0.000
Al 0.172 0.828 0.750
Al 0.656 0.828 0.750
W 0.667 0.333 0.943
Al 0.828 0.656 0.250
Al 0.000 0.000 0.500
Al 0.828 0.172 0.250
W 0.667 0.333 0.557



12.
! Al2W11, optimized geometry, DFT GGA-PBE; values from VASP
! **Symmetry**: R-3m
! **E_tot**: -11.270 eV per atom
&SYSTEM
  ibrav = 0, nat = 13, ntyp = 2
/
ATOMIC_SPECIES
W 183.84 W.upf
Al 26.98 Al.upf
CELL_PARAMETERS angstrom
-1.155 -8.922 3.671
1.681 -9.547 -0.670
3.989 -8.023 3.760
ATOMIC_POSITIONS crystal
W 0.911 0.414 0.911
W 0.547 0.547 0.547
W 0.089 0.586 0.089
Al 0.833 0.833 0.833
W 0.414 0.911 0.911
W 0.089 0.089 0.586
W 0.911 0.911 0.414
W 0.347 0.347 0.347
W 0.453 0.453 0.453
W 0.586 0.089 0.089
W 0.000 0.000 0.000
W 0.653 0.653 0.653
Al 0.167 0.167 0.167



Which value of E_tot does entry 3 give? -6.165 eV per atom